Cs4FeO3 after structural relaxation, computed with PBE+U.

```
Cs4FeO3
1.0
-4.207 5.852 -0.207
-5.421 -0.126 -4.785
-7.785 -1.433 6.341
Cs Fe O
8 2 6
Cartesian
-12.839 4.756 -0.023
-4.573 -0.463 1.372
-15.328 3.123 2.318
-2.084 1.169 -0.968
-11.598 3.002 3.553
-5.814 1.291 -2.203
-9.600 2.688 -1.482
-7.813 1.604 2.831
-11.590 0.634 0.963
-5.822 3.658 0.386
-11.549 4.495 -2.749
-5.864 -0.202 4.098
-12.959 1.992 0.966
-4.453 2.300 0.384
-10.554 0.309 2.545
-6.858 3.983 -1.196
```

* total DFT energy (no corrections): -4.190 eV per atom
* calculated density: 4690 kg/m³